No. 1
The following is a DFT calculation (PBE) of an optimized crystal structure of Ac3AlAg3.

POSCAR file:
```
Ac3AlAg3
1.0
5.8381 -2.3219 0.0000
5.8381 2.3219 0.0000
-5.3987 0.0000 15.3155
Ac Al Ag
6 2 6
Direct
0.0335 0.0335 0.3882 Ac
0.1031 0.1031 0.9185 Ac
0.2528 0.2528 0.2357 Ac
0.7472 0.7472 0.7643 Ac
0.8969 0.8969 0.0815 Ac
0.9665 0.9665 0.6118 Ac
0.2522 0.2522 0.5988 Al
0.7478 0.7478 0.4012 Al
0.3590 0.3590 0.4586 Ag
0.3905 0.3905 0.9217 Ag
0.4531 0.4531 0.7600 Ag
0.5469 0.5469 0.2400 Ag
0.6095 0.6095 0.0783 Ag
0.6410 0.6410 0.5414 Ag
```

No. 2
The following is a DFT calculation (PBE) of an optimized crystal structure of AcAl4Ag6.

POSCAR file:
```
AcAl4Ag6
1.0
7.5186 0.0000 0.0000
-3.7593 6.5113 0.0000
0.0000 0.0000 4.4185
Ac Al Ag
1 4 6
Direct
0.0000 0.0000 0.0000 Ac
0.3333 0.6667 0.0000 Al
0.4094 0.2047 0.5000 Al
0.7953 0.2047 0.5000 Al
0.7953 0.5906 0.5000 Al
0.2039 0.4078 0.5000 Ag
0.2039 0.7961 0.5000 Ag
0.5354 0.0708 0.0000 Ag
0.5354 0.4646 0.0000 Ag
0.5922 0.7961 0.5000 Ag
0.9292 0.4646 0.0000 Ag
```

No. 3
The following is a DFT calculation (PBE) of an optimized crystal structure of AcAl4Ag3.

POSCAR file:
```
AcAl4Ag3
1.0
4.3840 0.0000 0.0000
0.0000 4.3840 0.0000
0.0000 0.0000 8.8796
Ac Al Ag
1 4 3
Direct
0.0000 0.0000 0.0000 Ac
0.0000 0.5000 0.3314 Al
0.0000 0.5000 0.6686 Al
0.5000 0.0000 0.3314 Al
0.5000 0.0000 0.6686 Al
0.0000 0.0000 0.5000 Ag
0.5000 0.5000 0.1597 Ag
0.5000 0.5000 0.8403 Ag
```

No. 4
The following is a DFT calculation (PBE) of an optimized crystal structure of AcAlAg.

POSCAR file:
```
AcAlAg
1.0
4.8177 0.0000 0.0000
-2.4088 4.1722 0.0000
0.0000 0.0000 4.0528
Ac Al Ag
1 1 1
Direct
0.0000 0.0000 0.0000 Ac
0.6667 0.3333 0.5000 Al
0.3333 0.6667 0.5000 Ag
```

No. 5
The following is a DFT calculation (PBE) of an optimized crystal structure of Ac6Al2Ag.

POSCAR file:
```
Ac6Al2Ag
1.0
-5.2923 5.5070 5.6551
5.2923 -5.5070 5.6551
5.2923 5.5070 -5.6551
Ac Al Ag
12 4 2
Direct
0.0322 0.8248 0.2074 Ac
0.2522 0.5564 0.3042 Ac
0.2522 0.9480 0.6958 Ac
0.2643 0.3243 0.5886 Ac
0.2643 0.6757 0.9400 Ac
0.3826 0.1752 0.2074 Ac
0.6174 0.8248 0.7926 Ac
0.7357 0.3243 0.0600 Ac
0.7357 0.6757 0.4114 Ac
0.7478 0.0520 0.3042 Ac
0.7478 0.4436 0.6958 Ac
0.9678 0.1752 0.7926 Ac
0.0000 0.1332 0.1332 Al
0.0000 0.8668 0.8668 Al
0.3838 0.3838 0.0000 Al
0.6162 0.6162 0.0000 Al
0.0000 0.5000 0.5000 Ag
0.5000 0.0000 0.5000 Ag
```

No. 6
The following is a DFT calculation (PBE) of an optimized crystal structure of Ac2Al3Ag4.

POSCAR file:
```
Ac2Al3Ag4
1.0
3.0589 -8.2548 0.0000
3.0589 8.2548 0.0000
0.0000 0.0000 8.1970
Ac Al Ag
4 6 8
Direct
0.1098 0.8902 0.9039 Ac
0.3902 0.6098 0.4039 Ac
0.6098 0.3902 0.5961 Ac
0.8902 0.1098 0.0961 Ac
0.0000 0.0000 0.5000 Al
0.0230 0.4770 0.7500 Al
0.4770 0.0230 0.2500 Al
0.5000 0.5000 0.0000 Al
0.5230 0.9770 0.7500 Al
0.9770 0.5230 0.2500 Al
0.1832 0.8168 0.5133 Ag
0.1878 0.3122 0.7500 Ag
0.3122 0.1878 0.2500 Ag
0.3168 0.6832 0.0133 Ag
0.6832 0.3168 0.9867 Ag
0.6878 0.8122 0.7500 Ag
0.8122 0.6878 0.2500 Ag
0.8168 0.1832 0.4867 Ag
```

no.,mass density (Mg/m³),total energy (eV per cell),DOS(E_F) (states/eV/atom)
1,8.25,-53.08,1.002
2,7.54,-38.37,0.368
3,6.41,-29.33,0.304
4,7.38,-11.64,1.152
5,7.68,-72.46,1.164
6,7.75,-66.04,0.663